# 1
Material: MnCoPtI2
Method: DFT, GGA-PBE
State: relaxed

ρ in g/cm3: 8.12
Magnetization in μB per cell: 4.83
Uncorrected energy in eV per atom: -4.140
Volume in Å³/cell: 115.0
Raw formation energy in meV per atom: 944
Crystal system: tetragonal

a b c (Å): 4.9896 4.9896 4.6205
angles (deg): 90.00 90.00 90.00
Closest atoms and distances in Å follow each position.
Space group P4/mmm (No. 123)
Inequivalent atoms, fractional coordinates:
Mn 0.0000 0.0000 0.0000 (multiplicity 1)  2 Co 2.31
Co 0.0000 0.0000 0.5000 (multiplicity 1)  2 Mn 2.31, 4 I 2.49
Pt 0.5000 0.5000 0.0000 (multiplicity 1)  8 I 3.40, 4 Mn 3.53
I 0.0000 0.5000 0.5000 (multiplicity 2)  2 Co 2.49

# 2
Material: Mn2CoReI
Method: DFT, GGA-PBE
State: relaxed

ρ in g/cm3: 7.51
Magnetization in μB per cell: 7.25
Uncorrected energy in eV per atom: -6.123
Volume in Å³/cell: 106.5
Raw formation energy in meV per atom: 1766
Crystal system: tetragonal

a b c (Å): 4.4440 4.4440 5.3942
angles (deg): 90.00 90.00 90.00
Closest atoms and distances in Å follow each position.
Space group P4/mmm (No. 123)
Inequivalent atoms, fractional coordinates:
Mn 0.0000 0.5000 0.0000 (multiplicity 2)  2 Re 2.22
Co 0.0000 0.0000 0.5000 (multiplicity 1)  4 I 3.14, 8 Mn 3.49
Re 0.5000 0.5000 0.0000 (multiplicity 1)  4 Mn 2.22
I 0.5000 0.5000 0.5000 (multiplicity 1)  2 Re 2.70

# 3
Material: MnCo2RhI
Method: DFT, GGA-PBE
State: relaxed

ρ in g/cm3: 6.79
Magnetization in μB per cell: 6.86
Uncorrected energy in eV per atom: -4.909
Volume in Å³/cell: 98.4
Raw formation energy in meV per atom: 1547
Crystal system: tetragonal

a b c (Å): 4.5209 4.5209 4.8146
angles (deg): 90.00 90.00 90.00
Closest atoms and distances in Å follow each position.
Space group P4/mmm (No. 123)
Inequivalent atoms, fractional coordinates:
Mn 0.0000 0.0000 0.0000 (multiplicity 1)  2 I 2.41
Co 0.0000 0.5000 0.5000 (multiplicity 2)  2 I 2.26
Rh 0.5000 0.5000 0.0000 (multiplicity 1)  4 Mn 3.20, 8 Co 3.30
I 0.0000 0.0000 0.5000 (multiplicity 1)  4 Co 2.26, 2 Mn 2.41

# 4
Material: Mn2CoSI
Method: DFT, GGA-PBE
State: relaxed

ρ in g/cm3: 6.28
Magnetization in μB per cell: 0.17
Uncorrected energy in eV per atom: -5.087
Volume in Å³/cell: 86.7
Raw formation energy in meV per atom: 1137
Crystal system: tetragonal

a b c (Å): 4.6853 4.6853 3.9508
angles (deg): 90.00 90.00 90.00
Closest atoms and distances in Å follow each position.
Space group P4/mmm (No. 123)
Inequivalent atoms, fractional coordinates:
Mn 0.0000 0.5000 0.0000 (multiplicity 2)  2 Co 2.34
Co 0.0000 0.0000 0.0000 (multiplicity 1)  2 S 1.98
S 0.0000 0.0000 0.5000 (multiplicity 1)  2 Co 1.98
I 0.5000 0.5000 0.5000 (multiplicity 1)  8 Mn 3.06, 4 S 3.31